[1]
## CrMoCl2 (PBE-GGA)

Data for CrMoCl2 after structural relaxation.

The value obtained for the spin magnetization is 0.00 μB per atom. As for the uncorrected formation energy: 73.8 kJ per mole of atoms.

Cell and atoms, written as CIF:
```
data_CrMoCl2
_symmetry_space_group_name_H-M 'P 1'
_symmetry_Int_Tables_number 1
_cell_length_a 5.391
_cell_length_b 5.391
_cell_length_c 6.214
_cell_angle_alpha 64.29
_cell_angle_beta 64.29
_cell_angle_gamma 90.00
loop_
_symmetry_equiv_pos_as_xyz
'x,y,z'
loop_
_atom_site_label
_atom_site_type_symbol
_atom_site_fract_x
_atom_site_fract_y
_atom_site_fract_z
Mo1 Mo 0.750 0.250 0.500
Mo2 Mo 0.000 0.000 0.000
Cr1 Cr 0.250 0.750 0.500
Cr2 Cr 0.500 0.500 0.000
Cl1 Cl 0.152 0.625 0.250
Cl2 Cl 0.598 0.125 0.250
Cl3 Cl 0.875 0.848 0.750
Cl4 Cl 0.375 0.402 0.750
```



[2]
## Li2YI2 (PBE-GGA)

Data for Li2YI2 after structural relaxation.

The value obtained for the spin magnetization is 0.00 μB per atom. As for the uncorrected formation energy: -38.2 kJ per mole of atoms.

Cell and atoms, written as CIF:
```
data_Li2YI2
_symmetry_space_group_name_H-M 'P 1'
_symmetry_Int_Tables_number 1
_cell_length_a 5.257
_cell_length_b 5.257
_cell_length_c 5.941
_cell_angle_alpha 63.74
_cell_angle_beta 63.74
_cell_angle_gamma 90.00
loop_
_symmetry_equiv_pos_as_xyz
'x,y,z'
loop_
_atom_site_label
_atom_site_type_symbol
_atom_site_fract_x
_atom_site_fract_y
_atom_site_fract_z
I1 I 0.250 0.750 0.500
I2 I 0.750 0.250 0.500
Li1 Li 0.359 0.359 0.282
Li2 Li 0.641 0.641 0.718
Y1 Y 0.000 0.000 0.000
```



[3]
## GdAlCuPt (PBE-GGA)

Data for GdAlCuPt after structural relaxation.

The value obtained for the calculated formation energy is -0.65 eV per atom. The value obtained for the spin magnetization is 1.79 μB per atom.

Cell and atoms, written as CIF:
```
data_GdAlCuPt
_symmetry_space_group_name_H-M 'P 1'
_symmetry_Int_Tables_number 1
_cell_length_a 4.677
_cell_length_b 4.677
_cell_length_c 4.677
_cell_angle_alpha 60.00
_cell_angle_beta 60.00
_cell_angle_gamma 60.00
loop_
_symmetry_equiv_pos_as_xyz
'x,y,z'
loop_
_atom_site_label
_atom_site_type_symbol
_atom_site_fract_x
_atom_site_fract_y
_atom_site_fract_z
Al1 Al 0.250 0.250 0.250
Gd1 Gd 0.750 0.750 0.750
Pt1 Pt 0.500 0.500 0.500
Cu1 Cu 0.000 0.000 0.000
```



[4]
## Zn2AgAu (PBE-GGA)

Data for Zn2AgAu after structural relaxation.

The value obtained for the calculated formation energy is -0.14 eV per atom. The value obtained for the spin magnetization is 0.00 μB per atom.

Cell and atoms, written as CIF:
```
data_Zn2AgAu
_symmetry_space_group_name_H-M 'P 1'
_symmetry_Int_Tables_number 1
_cell_length_a 4.511
_cell_length_b 5.563
_cell_length_c 5.563
_cell_angle_alpha 68.76
_cell_angle_beta 90.05
_cell_angle_gamma 90.05
loop_
_symmetry_equiv_pos_as_xyz
'x,y,z'
loop_
_atom_site_label
_atom_site_type_symbol
_atom_site_fract_x
_atom_site_fract_y
_atom_site_fract_z
Zn1 Zn 0.250 0.668 0.117
Zn2 Zn 0.250 0.117 0.668
Zn3 Zn 0.750 0.883 0.332
Zn4 Zn 0.750 0.332 0.883
Au1 Au 0.250 0.162 0.162
Au2 Au 0.750 0.838 0.838
Ag1 Ag 0.250 0.620 0.620
Ag2 Ag 0.750 0.380 0.380
```



[5]
## LiZrAl2 (PBE-GGA)

Data for LiZrAl2 after structural relaxation.

The value obtained for the calculated formation energy is -0.18 eV per atom. The value obtained for the spin magnetization is 0.00 μB per atom.

Cell and atoms, written as CIF:
```
data_LiZrAl2
_symmetry_space_group_name_H-M 'P 1'
_symmetry_Int_Tables_number 1
_cell_length_a 5.583
_cell_length_b 5.583
_cell_length_c 5.203
_cell_angle_alpha 71.11
_cell_angle_beta 71.11
_cell_angle_gamma 29.22
loop_
_symmetry_equiv_pos_as_xyz
'x,y,z'
loop_
_atom_site_label
_atom_site_type_symbol
_atom_site_fract_x
_atom_site_fract_y
_atom_site_fract_z
Li1 Li 0.484 0.484 0.575
Zr1 Zr 0.268 0.268 0.169
Al1 Al 0.016 0.016 0.066
Al2 Al 0.732 0.732 0.690
```



[6]
## Ho4Br5N (PBE-GGA)

Data for Ho4Br5N after structural relaxation.

The value obtained for the spin magnetization is 0.00 μB per atom. As for the uncorrected formation energy: -151.5 kJ per mole of atoms.

Cell and atoms, written as CIF:
```
data_Ho4Br5N
_symmetry_space_group_name_H-M 'P 1'
_symmetry_Int_Tables_number 1
_cell_length_a 3.730
_cell_length_b 8.027
_cell_length_c 8.981
_cell_angle_alpha 102.62
_cell_angle_beta 101.99
_cell_angle_gamma 90.00
loop_
_symmetry_equiv_pos_as_xyz
'x,y,z'
loop_
_atom_site_label
_atom_site_type_symbol
_atom_site_fract_x
_atom_site_fract_y
_atom_site_fract_z
Br1 Br 0.163 0.341 0.326
Br2 Br 0.170 0.823 0.340
Br3 Br 0.837 0.659 0.674
Br4 Br 0.500 0.500 0.000
Br5 Br 0.830 0.177 0.660
Ho1 Ho 0.635 0.068 0.271
Ho2 Ho 0.365 0.932 0.729
Ho3 Ho 0.999 0.198 0.998
Ho4 Ho 0.001 0.802 0.002
N1 N 0.500 0.000 0.000
```



Repeat the third record exactly.
## GdAlCuPt (PBE-GGA)

Data for GdAlCuPt after structural relaxation.

The value obtained for the calculated formation energy is -0.65 eV per atom. The value obtained for the spin magnetization is 1.79 μB per atom.

Cell and atoms, written as CIF:
```
data_GdAlCuPt
_symmetry_space_group_name_H-M 'P 1'
_symmetry_Int_Tables_number 1
_cell_length_a 4.677
_cell_length_b 4.677
_cell_length_c 4.677
_cell_angle_alpha 60.00
_cell_angle_beta 60.00
_cell_angle_gamma 60.00
loop_
_symmetry_equiv_pos_as_xyz
'x,y,z'
loop_
_atom_site_label
_atom_site_type_symbol
_atom_site_fract_x
_atom_site_fract_y
_atom_site_fract_z
Al1 Al 0.250 0.250 0.250
Gd1 Gd 0.750 0.750 0.750
Pt1 Pt 0.500 0.500 0.500
Cu1 Cu 0.000 0.000 0.000
```